(1)
## Cs2MnZn2O4 (PBE+U)

Data for an optimized crystal structure of Cs2MnZn2O4.

Unit cell a=8.177 b=8.177 c=6.462 alpha=97.44 beta=97.44 gamma=22.98
Fractional coordinates of all 9 atoms:
Cs 0.132 0.132 0.058
Cs 0.868 0.868 0.942
Mn 0.000 0.000 0.500
Zn 0.317 0.317 0.449
Zn 0.683 0.683 0.551
O 0.235 0.235 0.691
O 0.434 0.434 0.584
O 0.566 0.566 0.416
O 0.765 0.765 0.309

Values from the calculation:
Density, g/cm³: 5.1
Raw total energy, eV/atom: -4.71

---

(2)
## CsZr2Mn2O7 (PBE+U)

Data for an optimized crystal structure of CsZr2Mn2O7.

Unit cell a=9.457 b=9.457 c=9.457 alpha=153.68 beta=153.68 gamma=37.56
Fractional coordinates of all 12 atoms:
Cs 0.000 0.000 0.000
Zr 0.384 0.384 0.000
Zr 0.616 0.616 0.000
Mn 0.250 0.750 0.500
Mn 0.750 0.250 0.500
O 0.133 0.633 0.500
O 0.262 0.262 0.000
O 0.367 0.867 0.500
O 0.500 0.500 0.000
O 0.633 0.133 0.500
O 0.738 0.738 0.000
O 0.867 0.367 0.500

Values from the calculation:
Density, g/cm³: 5.4
Raw total energy, eV/atom: -8.03

---

(3)
## CsZrMnO4 (PBE+U)

Data for an optimized crystal structure of CsZrMnO4.

Unit cell a=7.145 b=7.145 c=7.145 alpha=126.38 beta=124.04 gamma=81.21
Fractional coordinates of all 14 atoms:
Cs 0.401 0.151 0.250
Cs 0.599 0.849 0.750
Zr 0.000 0.500 0.500
Zr 0.500 0.500 0.000
Mn 0.000 0.000 0.500
Mn 0.000 0.500 0.000
O 0.138 0.707 0.431
O 0.224 0.293 0.931
O 0.240 0.289 0.549
O 0.240 0.691 0.951
O 0.760 0.309 0.049
O 0.760 0.711 0.451
O 0.776 0.707 0.069
O 0.862 0.293 0.569

Values from the calculation:
Density, g/cm³: 4.9
Raw total energy, eV/atom: -7.25